# 1
VASP calculation (PBE-GGA) on a geometry-optimized La2ErP3Ir12 structure.

a = 6.821 Å, b = 6.821 Å, c = 6.821 Å
α = 84.38°, β = 84.38°, γ = 84.38°
Fractional positions:
Ir: 0.824 0.824 0.332
Ir: 0.629 0.629 0.101
P: 0.500 0.000 0.000
La: 0.374 0.374 0.374
Ir: 0.176 0.668 0.176
Ir: 0.176 0.176 0.668
Ir: 0.371 0.899 0.371
Ir: 0.668 0.176 0.176
Ir: 0.371 0.371 0.899
P: 0.000 0.500 0.000
Ir: 0.101 0.629 0.629
Ir: 0.332 0.824 0.824
La: 0.626 0.626 0.626
Ir: 0.629 0.101 0.629
Ir: 0.824 0.332 0.824
Er: 0.000 0.000 0.000
P: 0.000 0.000 0.500
Ir: 0.899 0.371 0.371

Results
DFT formation energy	-0.078	eV/atom
symmetry	R-3m
crystal system	trigonal

***

# 2
VASP calculation (PBE-GGA) on a geometry-optimized Cr2PtCl structure.

a = 6.632 Å, b = 6.632 Å, c = 5.792 Å
α = 55.07°, β = 55.07°, γ = 90.00°
Fractional positions:
Pt: 0.000 0.000 0.000
Cr: 0.875 0.865 0.750
Cr: 0.135 0.625 0.250
Cr: 0.375 0.385 0.750
Cl: 0.500 0.500 0.000
Pt: 0.750 0.250 0.500
Cl: 0.250 0.750 0.500
Cr: 0.615 0.125 0.250

Results
symmetry	I-42d
energy relative to the lowest polymorph listed for this composition	392	meV/atom
crystal system	tetragonal
ΔE_f (raw)	0.386	eV per atom

***

# 3
VASP calculation (PBE-GGA) on a geometry-optimized BaCaLu2F10 structure.

a = 8.191 Å, b = 8.191 Å, c = 8.191 Å
α = 120.91°, β = 120.91°, γ = 88.43°
Fractional positions:
F: 0.892 0.660 0.768
Lu: 0.762 0.238 0.000
F: 0.876 0.108 0.768
Ba: 0.750 0.250 0.500
Lu: 0.762 0.762 0.523
F: 0.838 0.838 0.351
F: 0.162 0.162 0.649
F: 0.513 0.162 0.000
F: 0.892 0.124 0.232
Lu: 0.238 0.238 0.477
F: 0.108 0.340 0.232
F: 0.108 0.876 0.768
F: 0.162 0.513 0.000
F: 0.513 0.513 0.351
Ba: 0.250 0.750 0.500
Ca: 0.243 0.243 0.000
F: 0.838 0.487 0.000
F: 0.170 0.500 0.670
F: 0.487 0.838 0.000
Ca: 0.757 0.757 0.000
F: 0.487 0.487 0.649
F: 0.500 0.830 0.330
F: 0.500 0.170 0.670
F: 0.340 0.108 0.232
F: 0.660 0.892 0.768
F: 0.830 0.500 0.330
F: 0.124 0.892 0.232
Lu: 0.238 0.762 0.000

Results
symmetry	I4/mmm
crystal system	tetragonal
ΔE_f (raw)	-4.074	eV per atom

***

# 4
VASP calculation (PBE-GGA) on a geometry-optimized Mg2ZnOs structure.

a = 3.247 Å, b = 3.247 Å, c = 6.446 Å
α = 90.00°, β = 90.00°, γ = 90.00°
Fractional positions:
Mg: 0.000 0.000 0.969
Zn: 0.500 0.500 0.715
Os: 0.000 0.000 0.524
Mg: 0.500 0.500 0.292

Results
DFT formation energy	0.171	eV/atom
symmetry	P4mm
crystal system	tetragonal

***

# 5
VASP calculation (PBE-GGA) on a geometry-optimized TaFe2Pb2 structure.

a = 5.165 Å, b = 5.165 Å, c = 5.225 Å
α = 60.38°, β = 60.38°, γ = 90.00°
Fractional positions:
Ta: 0.000 0.000 0.000
Pb: 0.250 0.750 0.500
Fe: 0.650 0.650 0.699
Pb: 0.750 0.250 0.500
Fe: 0.350 0.350 0.301

Results
DFT formation energy	0.950	eV/atom
symmetry	I4/mmm
energy relative to the lowest polymorph listed for this composition	315	meV/atom
crystal system	tetragonal

***

# 6
VASP calculation (PBE-GGA) on a geometry-optimized Sc2MnAs structure.

a = 7.421 Å, b = 7.421 Å, c = 6.007 Å
α = 51.86°, β = 51.86°, γ = 90.00°
Fractional positions:
As: 0.750 0.250 0.500
Sc: 0.375 0.363 0.750
Sc: 0.113 0.625 0.250
Mn: 0.500 0.500 0.000
As: 0.000 0.000 0.000
Sc: 0.875 0.887 0.750
Mn: 0.250 0.750 0.500
Sc: 0.637 0.125 0.250

Results
DFT formation energy	-0.105	eV/atom
symmetry	I-42d
crystal system	tetragonal

***

# 7
VASP calculation (PBE-GGA) on a geometry-optimized CaTlBiRh structure.

a = 5.069 Å, b = 5.069 Å, c = 5.069 Å
α = 60.00°, β = 60.00°, γ = 60.00°
Fractional positions:
Bi: 0.500 0.500 0.500
Tl: 0.000 0.000 0.000
Rh: 0.750 0.750 0.750
Ca: 0.250 0.250 0.250

Results
DFT formation energy	-0.217	eV/atom
symmetry	F-43m
crystal system	cubic

***

# 8
VASP calculation (PBE-GGA) on a geometry-optimized MgCd3Au structure.

a = 6.921 Å, b = 6.921 Å, c = 6.708 Å
α = 108.10°, β = 117.11°, γ = 104.89°
Fractional positions:
Cd: 0.221 0.563 0.784
Mg: 0.707 0.063 0.770
Cd: 0.131 0.972 0.748
Au: 0.411 0.261 0.671
Au: 0.589 0.739 0.329
Cd: 0.869 0.028 0.252
Cd: 0.224 0.383 0.252
Mg: 0.293 0.937 0.230
Cd: 0.776 0.617 0.748
Cd: 0.779 0.437 0.216

Results
DFT formation energy	-0.098	eV/atom
symmetry	C2/m
energy relative to the lowest polymorph listed for this composition	0	meV/atom
crystal system	monoclinic

***

| no. | magnetic moment (μB per formula unit) |
| --- | --- |
| 1 | 0.00 |
| 2 | 7.50 |
| 3 | 0.16 |
| 4 | 0.00 |
| 5 | 3.64 |
| 6 | 2.66 |
| 7 | 0.00 |
| 8 | 0.00 |